No. 1
Below is a relaxed structure of Pr2SmTl3, with properties calculated at the PBE level.

a b c (Å): 3.889 3.889 11.873
angles (deg): 90.00 90.00 90.00
Space group P4/mmm (No. 123)
One atom of each set of equivalent atoms:
Pr 0.000 0.000 0.170 x2
Sm 0.000 0.000 0.500 x1
Tl 0.500 0.500 0.000 x1
Tl 0.500 0.500 0.340 x2

Summary:
D(E_F) in states/eV/cell: 5.65
Energy relative to the elements in eV per atom: -0.392
E in eV/atom: -3.955

---

No. 2
Below is a relaxed structure of Li5Mg2Cd12, with properties calculated at the PBE level.

a b c (Å): 13.760 8.047 7.387
angles (deg): 90.00 97.62 90.00
Space group C2/m (No. 12)
One atom of each set of equivalent atoms:
Li 0.000 0.000 0.000 x2
Li 0.145 0.500 0.617 x4
Li 0.227 0.000 0.017 x4
Mg 0.000 0.207 0.500 x4
Cd 0.058 0.500 0.259 x4
Cd 0.102 0.289 0.930 x8
Cd 0.137 0.000 0.333 x4
Cd 0.247 0.187 0.690 x8

Summary:
D(E_F) in states/eV/cell: 9.62
Energy relative to the elements in eV per atom: -0.099
E in eV/atom: -1.349

---

No. 3
Below is a relaxed structure of Li2ScCrTe, with properties calculated at the PBE level.

a b c (Å): 4.669 4.669 4.982
angles (deg): 90.00 90.00 90.00
Space group P4/mmm (No. 123)
One atom of each set of equivalent atoms:
Li 0.000 0.500 0.000 x2
Sc 0.000 0.000 0.500 x1
Cr 0.500 0.500 0.000 x1
Te 0.500 0.500 0.500 x1

Summary:
Formation energy without anion corrections in eV/atom: 0.3531
D(E_F) in states/eV/cell: 4.04
E in eV/atom: -4.232

---

No. 4
Below is a relaxed structure of MnOsBr2, with properties calculated at the PBE level.

a b c (Å): 4.650 4.650 3.253
angles (deg): 90.00 90.00 90.00
Space group P4/mmm (No. 123)
One atom of each set of equivalent atoms:
Mn 0.000 0.000 0.000 x1
Os 0.500 0.500 0.000 x1
Br 0.000 0.500 0.500 x2

Summary:
Formation energy without anion corrections in eV/atom: 1.0469
D(E_F) in states/eV/cell: 2.20
E in eV/atom: -4.889

---

No. 5
Below is a relaxed structure of Sm3ErSb3, with properties calculated at the PBE level.

a b c (Å): 9.0746 9.0746 18.7214
angles (deg): 90.00 90.00 120.00
Space group R-3 (No. 148, hexagonal axes)
One atom of each set of equivalent atoms:
Sm 0.0045 0.7401 0.0863 x18
Er 0.0000 0.0000 0.3330 x6
Sb 0.0048 0.6141 0.9206 x18

Summary:
Formation energy without anion corrections in eV/atom: -0.9244
D(E_F) in states/eV/cell: 29.38
E in eV/atom: -5.365

---

No. 6
Below is a relaxed structure of Mg3Si4, with properties calculated at the PBE level.

a b c (Å): 5.917 7.107 7.589
angles (deg): 112.16 110.65 93.62
Space group P1 (No. 1)
One atom of each set of equivalent atoms:
Mg 0.000 0.000 0.000 x1
Mg 0.004 0.798 0.320 x1
Mg 0.183 0.451 0.464 x1
Mg 0.440 0.726 0.008 x1
Mg 0.596 0.294 0.008 x1
Mg 0.992 0.171 0.696 x1
Si 0.165 0.447 0.094 x1
Si 0.220 0.851 0.715 x1
Si 0.405 0.103 0.374 x1
Si 0.542 0.962 0.630 x1
Si 0.581 0.664 0.367 x1
Si 0.691 0.438 0.531 x1
Si 0.771 0.132 0.300 x1
Si 0.822 0.568 0.901 x1

Summary:
Formation energy without anion corrections in eV/atom: 0.0642
D(E_F) in states/eV/cell: 1.29
E in eV/atom: -3.718

---

No. 7
Below is a relaxed structure of CaSc2Au, with properties calculated at the PBE level.

a b c (Å): 3.473 3.473 8.409
angles (deg): 90.00 90.00 90.00
Space group P4mm (No. 99)
One atom of each set of equivalent atoms:
Ca 0.000 0.000 0.000 x1
Sc 0.000 0.000 0.582 x1
Sc 0.500 0.500 0.333 x1
Au 0.500 0.500 0.758 x1

Summary:
D(E_F) in states/eV/cell: 4.29
Energy relative to the elements in eV per atom: -0.328
E in eV/atom: -4.814

---

No. 8
Below is a relaxed structure of Na2ZnB2Pd5, with properties calculated at the PBE level.

a b c (Å): 9.859 9.859 2.925
angles (deg): 90.00 90.00 90.00
Space group P4/mbm (No. 127)
One atom of each set of equivalent atoms:
Na 0.177 0.323 0.000 x4
Zn 0.000 0.000 0.000 x2
B 0.125 0.625 0.000 x4
Pd 0.000 0.500 0.500 x2
Pd 0.069 0.779 0.500 x8

Summary:
D(E_F) in states/eV/cell: 8.41
Energy relative to the elements in eV per atom: -0.284
E in eV/atom: -4.607

---

No. 9
Below is a relaxed structure of Na2Pr3YTe6, with properties calculated at the PBE level.

a b c (Å): 7.799 13.497 7.830
angles (deg): 90.00 109.31 90.00
Space group C2/m (No. 12)
One atom of each set of equivalent atoms:
Na 0.000 0.165 0.000 x4
Pr 0.000 0.000 0.500 x2
Pr 0.000 0.330 0.500 x4
Y 0.000 0.500 0.000 x2
Te 0.244 0.336 0.241 x8
Te 0.245 0.500 0.753 x4

Summary:
Formation energy without anion corrections in eV/atom: -1.3589
D(E_F) in states/eV/cell: 7.85
E in eV/atom: -4.883

---

No. 10
Below is a relaxed structure of NaZnIr2, with properties calculated at the PBE level.

a b c (Å): 4.348 4.348 18.310
angles (deg): 90.00 90.00 90.00
Space group I-42d (No. 122)
One atom of each set of equivalent atoms:
Na 0.000 0.000 0.000 x4
Zn 0.000 0.000 0.500 x4
Ir 0.106 0.250 0.625 x8

Summary:
D(E_F) in states/eV/cell: 12.53
Energy relative to the elements in eV per atom: 0.525
E in eV/atom: -4.554

---

No. 11
Below is a relaxed structure of NbGa3Rh, with properties calculated at the PBE level.

a b c (Å): 4.622 4.622 4.622
angles (deg): 90.00 90.00 90.00
Space group Pm-3m (No. 221)
One atom of each set of equivalent atoms:
Nb 0.000 0.000 0.000 x1
Ga 0.000 0.500 0.500 x3
Rh 0.500 0.500 0.500 x1

Summary:
D(E_F) in states/eV/cell: 6.99
Energy relative to the elements in eV per atom: 0.427
E in eV/atom: -4.873

---

No. 12
Below is a relaxed structure of MnZn6Cu, with properties calculated at the PBE level.

a b c (Å): 3.888 3.888 7.414
angles (deg): 90.00 90.00 90.00
Space group P4/mmm (No. 123)
One atom of each set of equivalent atoms:
Mn 0.000 0.000 0.000 x1
Zn 0.000 0.500 0.253 x4
Zn 0.500 0.500 0.000 x1
Zn 0.500 0.500 0.500 x1
Cu 0.000 0.000 0.500 x1

Summary:
D(E_F) in states/eV/cell: 3.13
Energy relative to the elements in eV per atom: -0.019
E in eV/atom: -2.632